AcErP2Rh5 | GGA-PBE | optimized geometry

D(E_F) = 4.9 states/eV/f.u.
Crystal system = tetragonal
Symmetry = P4/mmm
Formation enthalpy at 0 K = -0.820 eV per atom

Unit cell a=4.1277 b=4.1277 c=10.5096 alpha=90.00 beta=90.00 gamma=90.00
With the nearest neighbours (Å) after each atom.
Fractional positions:
Ac1 0.0000 0.0000 0.0000  4 Rh 2.92
Er1 0.0000 0.0000 0.5000  8 Rh 2.88
P1 0.5000 0.5000 0.2186  5 Rh 2.27-2.30
P2 0.5000 0.5000 0.7814  5 Rh 2.27-2.30
Rh1 0.0000 0.5000 0.3085  2 P 2.27
Rh2 0.0000 0.5000 0.6915  2 P 2.27
Rh3 0.5000 0.0000 0.3085  2 P 2.27
Rh4 0.5000 0.0000 0.6915  2 P 2.27
Rh5 0.5000 0.5000 0.0000  2 P 2.30

TiPtC3 | GGA-PBE | optimized geometry

Offset from the most stable computed form = 0.0114 eV/atom
D(E_F) = 3.4 states/eV/f.u.
Crystal system = cubic
Symmetry = Pm-3m
Formation enthalpy at 0 K = 2.179 eV per atom

Unit cell a=4.0051 b=4.0051 c=4.0051 alpha=90.00 beta=90.00 gamma=90.00
With the nearest neighbours (Å) after each atom.
Fractional positions:
Ti1 0.0000 0.0000 0.0000  6 C 2.00
Pt1 0.5000 0.5000 0.5000  12 C 2.83
C1 0.0000 0.0000 0.5000  2 Ti 2.00
C2 0.0000 0.5000 0.0000  2 Ti 2.00
C3 0.5000 0.0000 0.0000  2 Ti 2.00

CePrGe | GGA-PBE | optimized geometry

D(E_F) = 6.4 states/eV/f.u.
Crystal system = trigonal
Symmetry = R-3m
Formation enthalpy at 0 K = -0.362 eV per atom

Unit cell a=11.5546 b=11.5546 c=11.5546 alpha=21.40 beta=21.40 gamma=21.40
With the nearest neighbours (Å) after each atom.
Fractional positions:
Ce1 0.1900 0.1900 0.1900  3 Ce 2.94, 4 Ge 2.96-3.20
Ce2 0.8100 0.8100 0.8100  3 Ce 2.94, 4 Ge 2.96-3.20
Pr1 0.3787 0.3787 0.3787  3 Ge 3.00
Pr2 0.6213 0.6213 0.6213  3 Ge 3.00
Ge1 0.0954 0.0954 0.0954  4 Ce 2.96-3.20, 3 Pr 3.00
Ge2 0.9046 0.9046 0.9046  4 Ce 2.96-3.20, 3 Pr 3.00

Zr2BeHRh | GGA-PBE | optimized geometry

Offset from the most stable computed form = 0.0201 eV/atom
D(E_F) = 2.9 states/eV/f.u.
Crystal system = tetragonal
Symmetry = P4/mmm

Unit cell a=4.4556 b=4.4556 c=3.6294 alpha=90.00 beta=90.00 gamma=90.00
With the nearest neighbours (Å) after each atom.
Fractional positions:
Zr1 0.0000 0.5000 0.0000  2 H 2.23
Zr2 0.5000 0.0000 0.0000  2 H 2.23
Be1 0.0000 0.0000 0.5000  8 Zr 2.87, 4 Rh 3.15
H1 0.5000 0.5000 0.0000  2 Rh 1.81
Rh1 0.5000 0.5000 0.5000  2 H 1.81

La2MgZnPd6 | GGA-PBE | optimized geometry

D(E_F) = 4.4 states/eV/f.u.
Crystal system = trigonal
Symmetry = R-3m
Formation enthalpy at 0 K = -0.586 eV per atom

Unit cell a=8.6748 b=8.6748 c=8.6748 alpha=38.56 beta=38.56 gamma=38.56
With the nearest neighbours (Å) after each atom.
Fractional positions:
La1 0.2130 0.2130 0.2130  6 Pd 2.96
La2 0.7870 0.7870 0.7870  6 Pd 2.96
Mg1 0.0000 0.0000 0.0000  6 Pd 2.68
Zn1 0.5000 0.5000 0.5000  6 Pd 2.52
Pd1 0.2389 0.7475 0.7475  1 Zn 2.52, 1 Mg 2.68, 2 Pd 2.81
Pd2 0.2525 0.2525 0.7611  1 Zn 2.52, 1 Mg 2.68, 2 Pd 2.81
Pd3 0.2525 0.7611 0.2525  1 Zn 2.52, 1 Mg 2.68, 2 Pd 2.81
Pd4 0.7475 0.2389 0.7475  1 Zn 2.52, 1 Mg 2.68, 2 Pd 2.81
Pd5 0.7475 0.7475 0.2389  1 Zn 2.52, 1 Mg 2.68, 2 Pd 2.81
Pd6 0.7611 0.2525 0.2525  1 Zn 2.52, 1 Mg 2.68, 2 Pd 2.81

CrTe2RuI | GGA-PBE | optimized geometry

Offset from the most stable computed form = 0.0617 eV/atom
D(E_F) = 8.2 states/eV/f.u.
Crystal system = tetragonal
Raw formation energy = 1.235 eV per atom
Symmetry = P4/mmm

Unit cell a=5.1537 b=5.1537 c=5.4367 alpha=90.00 beta=90.00 gamma=90.00
With the nearest neighbours (Å) after each atom.
Fractional positions:
Cr1 0.0000 0.0000 0.0000  4 I 3.64, 8 Te 3.75
Te1 0.0000 0.5000 0.5000  2 Ru 2.58
Te2 0.5000 0.0000 0.5000  2 Ru 2.58
Ru1 0.5000 0.5000 0.5000  4 Te 2.58, 2 I 2.72
I1 0.5000 0.5000 0.0000  2 Ru 2.72

Ce2CdGe3Au4 | GGA-PBE | optimized geometry

D(E_F) = 14.6 states/eV/f.u.
Crystal system = tetragonal
Symmetry = P-4m2
Formation enthalpy at 0 K = -0.482 eV per atom

Unit cell a=4.3781 b=4.3781 c=11.2558 alpha=90.00 beta=90.00 gamma=90.00
With the nearest neighbours (Å) after each atom.
Fractional positions:
Ce1 0.0000 0.5000 0.2311  4 Ge 3.29, 8 Au 3.39-3.40
Ce2 0.5000 0.0000 0.7689  4 Ge 3.29, 8 Au 3.39-3.40
Cd1 0.0000 0.0000 0.5000  4 Au 2.74
Ge1 0.0000 0.5000 0.8672  5 Au 2.48-2.65
Ge2 0.5000 0.0000 0.1328  5 Au 2.48-2.65
Ge3 0.5000 0.5000 0.5000  4 Au 2.74
Au1 0.0000 0.0000 0.0000  4 Ge 2.65
Au2 0.0000 0.5000 0.6471  3 Ge 2.48-2.74, 2 Cd 2.74
Au3 0.5000 0.0000 0.3529  3 Ge 2.48-2.74, 2 Cd 2.74
Au4 0.5000 0.5000 0.0000  4 Ge 2.65

Ca2PmHg | GGA-PBE | optimized geometry

Offset from the most stable computed form = 0.0000 eV/atom
D(E_F) = 5.6 states/eV/f.u.
Crystal system = tetragonal
Symmetry = P4/mmm
Formation enthalpy at 0 K = -0.201 eV per atom

Unit cell a=3.6660 b=3.6660 c=9.6961 alpha=90.00 beta=90.00 gamma=90.00
With the nearest neighbours (Å) after each atom.
Fractional positions:
Ca1 0.0000 0.0000 0.2039  4 Hg 3.26
Ca2 0.0000 0.0000 0.7961  4 Hg 3.26
Pm1 0.5000 0.5000 0.5000  4 Pm 3.67, 8 Ca 3.87
Hg1 0.5000 0.5000 0.0000  8 Ca 3.26

CePmPrSc | GGA-PBE | optimized geometry

Offset from the most stable computed form = 0.0000 eV/atom
D(E_F) = 10.8 states/eV/f.u.
Crystal system = cubic
Symmetry = F-43m
Formation enthalpy at 0 K = 0.185 eV per atom

Unit cell a=7.9567 b=7.9567 c=7.9567 alpha=90.00 beta=90.00 gamma=90.00
With the nearest neighbours (Å) after each atom.
Fractional positions:
Ce1 0.0000 0.0000 0.0000  4 Sc 3.45, 4 Pm 3.45
Ce2 0.0000 0.5000 0.5000  4 Pm 3.45, 4 Sc 3.45
Ce3 0.5000 0.0000 0.5000  4 Pm 3.45, 4 Sc 3.45
Ce4 0.5000 0.5000 0.0000  4 Pm 3.45, 4 Sc 3.45
Pm1 0.2500 0.2500 0.7500  4 Ce 3.45, 4 Pr 3.45
Pm2 0.2500 0.7500 0.2500  4 Ce 3.45, 4 Pr 3.45
Pm3 0.7500 0.2500 0.2500  4 Ce 3.45, 4 Pr 3.45
Pm4 0.7500 0.7500 0.7500  4 Ce 3.45, 4 Pr 3.45
Pr1 0.0000 0.0000 0.5000  4 Pm 3.45, 4 Sc 3.45
Pr2 0.0000 0.5000 0.0000  4 Pm 3.45, 4 Sc 3.45
Pr3 0.5000 0.0000 0.0000  4 Pm 3.45, 4 Sc 3.45
Pr4 0.5000 0.5000 0.5000  4 Pm 3.45, 4 Sc 3.45
Sc1 0.2500 0.2500 0.2500  4 Ce 3.45, 4 Pr 3.45
Sc2 0.2500 0.7500 0.7500  4 Ce 3.45, 4 Pr 3.45
Sc3 0.7500 0.2500 0.7500  4 Ce 3.45, 4 Pr 3.45
Sc4 0.7500 0.7500 0.2500  4 Ce 3.45, 4 Pr 3.45

Ti3ZnRu4 | GGA-PBE | optimized geometry

D(E_F) = 3.6 states/eV/f.u.
Crystal system = tetragonal
Symmetry = P4/mmm
Formation enthalpy at 0 K = -0.591 eV per atom

Unit cell a=3.0818 b=3.0818 c=12.1687 alpha=90.00 beta=90.00 gamma=90.00
With the nearest neighbours (Å) after each atom.
Fractional positions:
Ti1 0.0000 0.0000 0.0000  8 Ru 2.66
Ti2 0.0000 0.0000 0.2574  8 Ru 2.60-2.71
Ti3 0.0000 0.0000 0.7426  8 Ru 2.60-2.71
Zn1 0.0000 0.0000 0.5000  8 Ru 2.66, 2 Ti 2.95
Ru1 0.5000 0.5000 0.1251  8 Ti 2.66-2.71
Ru2 0.5000 0.5000 0.3743  4 Ti 2.60, 4 Zn 2.66
Ru3 0.5000 0.5000 0.6257  4 Ti 2.60, 4 Zn 2.66
Ru4 0.5000 0.5000 0.8749  8 Ti 2.66-2.71

Pm3Nd4Al4 | GGA-PBE | optimized geometry

D(E_F) = 12.5 states/eV/f.u.
Crystal system = orthorhombic
Symmetry = Immm
Formation enthalpy at 0 K = -0.106 eV per atom

Unit cell a=9.5565 b=9.5565 c=9.5565 alpha=150.39 beta=129.62 gamma=59.54
With the nearest neighbours (Å) after each atom.
Fractional positions:
Pm1 0.0000 0.0000 0.0000  6 Al 3.59-3.68
Pm2 0.3852 0.8852 0.5000  6 Al 3.37-3.71, 4 Nd 3.56
Pm3 0.6148 0.1148 0.5000  6 Al 3.37-3.71, 4 Nd 3.56
Nd1 0.0324 0.3331 0.6994  4 Al 2.99-3.12, 1 Nd 3.24
Nd2 0.3663 0.6669 0.6994  4 Al 2.99-3.12, 1 Nd 3.24
Nd3 0.6337 0.3331 0.3006  4 Al 2.99-3.12, 1 Nd 3.24
Nd4 0.9676 0.6669 0.3006  4 Al 2.99-3.12, 1 Nd 3.24
Al1 0.2166 0.2166 0.0000  6 Nd 3.05-3.12
Al2 0.3379 0.5000 0.8379  1 Al 2.64
Al3 0.6621 0.5000 0.1621  1 Al 2.64
Al4 0.7834 0.7834 0.0000  6 Nd 3.05-3.12

MgAs | GGA-PBE | optimized geometry

Offset from the most stable computed form = 0.2566 eV/atom
D(E_F) = 0.9 states/eV/f.u.
Crystal system = orthorhombic
Symmetry = Fddd
Formation enthalpy at 0 K = -0.161 eV per atom

Unit cell a=8.7178 b=8.3892 c=5.8602 alpha=73.02 beta=66.98 gamma=40.01
With the nearest neighbours (Å) after each atom.
Fractional positions:
Mg1 0.0708 0.6792 0.0708  4 As 2.60-2.68
Mg2 0.3208 0.9292 0.3208  4 As 2.60-2.68
Mg3 0.6792 0.0708 0.6792  4 As 2.60-2.68
Mg4 0.9292 0.3208 0.9292  4 As 2.60-2.68
As1 0.0104 0.0104 0.7396  4 Mg 2.60-2.68
As2 0.2604 0.2604 0.9896  4 Mg 2.60-2.68
As3 0.7396 0.7396 0.0104  4 Mg 2.60-2.68
As4 0.9896 0.9896 0.2604  4 Mg 2.60-2.68

> Which formula does entry 1 have?

AcErP2Rh5